Record 1
The following is a PBE calculation of crystalline MgCuNi2 at its relaxed geometry, from Alexandria.

Results
formation enthalpy at 0 K: -0.0123 eV/atom

Cell: 2.940 2.940 5.955 Å, 90.00 90.00 90.00°
Space group P4mm (No. 99)
One atom of each set of equivalent atoms:
Mg 0.000 0.000 0.000
Cu 0.500 0.500 0.711
Ni 0.000 0.000 0.487
Ni 0.500 0.500 0.272

Record 2
The following is a PBE calculation of crystalline MgCu2Ni2 at its relaxed geometry, from Alexandria.

Results
formation enthalpy at 0 K: 0.1267 eV/atom

Cell: 3.452 3.452 11.571 Å, 90.00 90.00 90.00°
Space group I4/mmm (No. 139)
One atom of each set of equivalent atoms:
Mg 0.000 0.000 0.000
Cu 0.000 0.000 0.397
Ni 0.000 0.500 0.250

Record 3
The following is a PBE calculation of crystalline MgCu2Ni at its relaxed geometry, from Alexandria.

Results
formation enthalpy at 0 K: 0.1150 eV/atom

Cell: 2.6912 2.6912 25.4041 Å, 90.00 90.00 120.00°
Space group R-3m (No. 166, hexagonal axes)
One atom of each set of equivalent atoms:
Mg 0.0000 0.0000 0.0000
Cu 0.0000 0.0000 0.2447
Ni 0.0000 0.0000 0.5000

Record 4
The following is a PBE calculation of crystalline MgCuNi2 at its relaxed geometry, from Alexandria.

Results
formation enthalpy at 0 K: -0.0281 eV/atom

Cell: 8.654 2.708 4.412 Å, 90.00 102.87 90.00°
Space group Cm (No. 8)
One atom of each set of equivalent atoms:
Mg 0.000 0.000 0.000
Cu 0.261 0.500 0.274
Ni 0.006 0.500 0.505
Ni 0.243 0.000 0.743

Record 5
The following is a PBE calculation of crystalline MgCuNi2 at its relaxed geometry, from Alexandria.

Results
formation enthalpy at 0 K: -0.0692 eV/atom

Cell: 3.750 3.750 7.100 Å, 90.00 90.00 90.00°
Space group I4/mmm (No. 139)
One atom of each set of equivalent atoms:
Mg 0.000 0.000 0.000
Cu 0.000 0.000 0.500
Ni 0.000 0.500 0.250

Record 6
The following is a PBE calculation of crystalline MgCuNi2 at its relaxed geometry, from Alexandria.

Results
formation enthalpy at 0 K: -0.0341 eV/atom

Cell: 5.852 5.852 5.852 Å, 90.00 90.00 90.00°
Space group F-43m (No. 216)
One atom of each set of equivalent atoms:
Mg 0.000 0.000 0.000
Cu 0.250 0.250 0.250
Ni 0.000 0.000 0.500
Ni 0.250 0.250 0.750

Record 7
The following is a PBE calculation of crystalline MgCuNi at its relaxed geometry, from Alexandria.

Results
formation enthalpy at 0 K: -0.0646 eV/atom

Cell: 2.788 3.512 8.268 Å, 90.00 90.00 90.00°
Space group Imm2 (No. 44)
One atom of each set of equivalent atoms:
Mg 0.000 0.000 0.000
Cu 0.000 0.000 0.319
Ni 0.000 0.000 0.675

Record 8
The following is a PBE calculation of crystalline MgCuNi2 at its relaxed geometry, from Alexandria.

Results
formation enthalpy at 0 K: -0.0253 eV/atom

Cell: 8.550 2.687 4.477 Å, 90.00 102.01 90.00°
Space group C2/m (No. 12)
One atom of each set of equivalent atoms:
Mg 0.000 0.000 0.000
Cu 0.000 0.500 0.500
Ni 0.244 0.000 0.734

Record 9
The following is a PBE calculation of crystalline MgCuNi2 at its relaxed geometry, from Alexandria.

Results
formation enthalpy at 0 K: -0.0239 eV/atom

Cell: 3.019 4.084 8.183 Å, 90.00 90.00 90.00°
Space group Imm2 (No. 44)
One atom of each set of equivalent atoms:
Mg 0.000 0.000 0.000
Cu 0.000 0.500 0.762
Ni 0.000 0.000 0.506
Ni 0.000 0.500 0.241

Record 10
The following is a PBE calculation of crystalline MgCuNi14 at its relaxed geometry, from Alexandria.

Results
formation enthalpy at 0 K: 0.0029 eV/atom

Cell: 8.229 5.019 8.700 Å, 90.00 90.00 90.00°
Space group Amm2 (No. 38)
One atom of each set of equivalent atoms:
Mg 0.000 0.000 0.000
Cu 0.000 0.000 0.499
Ni 0.000 0.249 0.251
Ni 0.248 0.000 0.668
Ni 0.254 0.000 0.169
Ni 0.256 0.248 0.415
Ni 0.500 0.000 0.333
Ni 0.500 0.000 0.833
Ni 0.500 0.249 0.584

Record 11
The following is a PBE calculation of crystalline MgCu2Ni2 at its relaxed geometry, from Alexandria.

Results
formation enthalpy at 0 K: 0.0166 eV/atom

Cell: 6.880 6.880 2.741 Å, 90.00 90.00 90.00°
Space group P4/mbm (No. 127)
One atom of each set of equivalent atoms:
Mg 0.000 0.000 0.000
Cu 0.170 0.330 0.500
Ni 0.126 0.626 0.000

Record 12
The following is a PBE calculation of crystalline MgCuNi2 at its relaxed geometry, from Alexandria.

Results
formation enthalpy at 0 K: -0.0551 eV/atom

Cell: 3.733 3.733 7.183 Å, 90.00 90.00 90.00°
Space group I-4m2 (No. 119)
One atom of each set of equivalent atoms:
Mg 0.000 0.000 0.000
Cu 0.000 0.500 0.250
Ni 0.000 0.000 0.500
Ni 0.000 0.500 0.750

Number 1: D(E_F) 4.713 states/eV per cell. Number 2: D(E_F) 7.901 states/eV per cell. Number 3: D(E_F) 4.813 states/eV per cell. Number 4: D(E_F) 9.092 states/eV per cell. Number 5: D(E_F) 5.750 states/eV per cell. Number 6: D(E_F) 21.440 states/eV per cell. Number 7: D(E_F) 2.584 states/eV per cell. Number 8: D(E_F) 7.052 states/eV per cell. Number 9: D(E_F) 6.784 states/eV per cell. Number 10: D(E_F) 49.470 states/eV per cell. Number 11: D(E_F) 5.468 states/eV per cell. Number 12: D(E_F) 7.712 states/eV per cell.